A plane-wave DFT calculation with PBE was carried out for a relaxed structure of SiSn3Pd.

The structure in POSCAR format:
```
SiSn3Pd
1.0
5.1653 0.0000 0.0000
0.0000 5.1653 0.0000
0.0000 0.0000 5.1653
Si Sn Pd
1 3 1
Cartesian
0.0000 0.0000 0.0000
0.0000 2.5826 2.5826
2.5826 0.0000 2.5826
2.5826 2.5826 0.0000
2.5826 2.5826 2.5826
```

Space-group type: Pm-3m
E, eV per atom: -4.1271
Formation energy (no corrections), kJ/mol of atoms: 38.4
E above lowest polymorph, meV/atom: 0
Theoretical density, g/cm3: 5.91

***

A plane-wave DFT calculation with PBE was carried out for a relaxed structure of LaNi2W.

The structure in POSCAR format:
```
LaNi2W
1.0
3.2652 0.0000 0.0000
0.0000 4.1841 0.0000
-1.2009 0.0000 5.2550
La Ni W
1 2 1
Cartesian
0.0000 0.0000 0.0000
1.6880 2.0920 1.1190
1.3742 0.0000 2.5871
0.1487 2.0920 2.9958
```

Space-group type: Pm
E, eV per atom: -7.1313
E above lowest polymorph, meV/atom: 255
Theoretical density, g/cm3: 10.18

***

A plane-wave DFT calculation with PBE was carried out for a relaxed structure of FePRh2.

The structure in POSCAR format:
```
FePRh2
1.0
-1.9371 1.9371 3.4811
1.9371 -1.9371 3.4811
1.9371 1.9371 -3.4811
Fe P Rh
1 1 2
Cartesian
0.0000 0.0000 0.0000
0.0000 0.0000 3.4811
1.9371 0.0000 1.7405
0.0000 1.9371 1.7405
```

Space-group type: I4/mmm
E, eV per atom: -7.3315
Theoretical density, g/cm3: 9.30

***

A plane-wave DFT calculation with PBE was carried out for a relaxed structure of BPtI.

The structure in POSCAR format:
```
BPtI
1.0
9.7759 -1.6950 0.0000
9.7759 1.6950 0.0000
-1.2128 0.0000 5.5241
B Pt I
2 2 2
Cartesian
4.5305 0.0000 0.1894
13.8085 0.0000 5.3348
5.1007 0.0000 4.7136
13.2383 0.0000 0.8106
1.6086 0.0000 1.9602
16.7304 0.0000 3.5639
```

Space-group type: C2/m
E, eV per atom: -4.7243
Formation energy (no corrections), kJ/mol of atoms: 3.1
Theoretical density, g/cm3: 6.04

***

A plane-wave DFT calculation with PBE was carried out for a relaxed structure of CaLaNiRh.

The structure in POSCAR format:
```
CaLaNiRh
1.0
4.1591 0.0000 0.0000
0.0000 2.0315 5.4300
0.0000 -2.0315 5.4300
Ca La Ni Rh
1 1 1 1
Cartesian
0.0000 0.0000 0.0000
2.0795 0.0000 3.0543
2.0795 0.0000 6.2371
0.0000 0.0000 7.7289
```

Space-group type: Amm2
E, eV per atom: -5.4486
E above lowest polymorph, meV/atom: 0
Theoretical density, g/cm3: 6.16

***

A plane-wave DFT calculation with PBE was carried out for a relaxed structure of YTe2Rh.

The structure in POSCAR format:
```
YTe2Rh
1.0
3.7346 -2.1577 0.0000
3.7346 2.1577 0.0000
-2.4652 0.0000 6.2446
Y Te Rh
1 2 1
Cartesian
0.0000 0.0000 0.0000
0.0219 0.0000 4.4472
4.9821 0.0000 1.7974
2.5020 0.0000 3.1223
```

Space-group type: C2/m
E, eV per atom: -5.6685
Formation energy (no corrections), kJ/mol of atoms: -62.1
E above lowest polymorph, meV/atom: 168
Theoretical density, g/cm3: 7.38

***

A plane-wave DFT calculation with PBE was carried out for a relaxed structure of Ba2CrCu.

The structure in POSCAR format:
```
Ba2CrCu
1.0
0.0000 3.9042 3.9042
3.9042 0.0000 3.9042
3.9042 3.9042 0.0000
Ba Cr Cu
2 1 1
Cartesian
0.0000 0.0000 0.0000
1.9521 1.9521 1.9521
5.8564 5.8564 5.8564
3.9042 3.9042 3.9042
```

Space-group type: F-43m
E, eV per atom: -3.7804
E above lowest polymorph, meV/atom: 257
Theoretical density, g/cm3: 5.44

***

A plane-wave DFT calculation with PBE was carried out for a relaxed structure of BeCuOs.

The structure in POSCAR format:
```
BeCuOs
1.0
0.0000 2.1802 5.9938
1.3919 0.0000 5.9938
1.3919 2.1802 0.0000
Be Cu Os
1 1 1
Cartesian
0.0000 0.0000 0.0000
1.3919 2.1802 4.1845
1.3919 2.1802 7.8801
```

Space-group type: Fmm2
E, eV per atom: -6.1478
E above lowest polymorph, meV/atom: 83
Theoretical density, g/cm3: 11.99

***

A plane-wave DFT calculation with PBE was carried out for a relaxed structure of Li4Tb3ThS8.

The structure in POSCAR format:
```
Li4Tb3ThS8
1.0
3.9388 2.2741 6.1981
-3.9388 2.2741 6.1981
0.0000 -4.5481 6.1981
Li Tb Th S
4 3 1 8
Cartesian
0.0000 0.0000 0.0000
-1.9694 -1.1370 6.1981
-1.9694 1.1370 12.3962
0.0000 2.2741 6.1981
-3.9388 0.0000 9.2972
-1.9694 1.1370 3.0991
1.9694 1.1370 3.0991
0.0000 0.0000 9.2972
0.0000 -2.2936 7.7031
-1.9863 1.1468 7.7031
-1.9863 -1.1468 10.8913
0.0000 0.0000 4.6671
0.0000 0.0000 13.9273
1.9863 1.1468 7.7031
1.9863 -1.1468 10.8912
0.0000 2.2936 10.8912
```

Space-group type: R-3m
E, eV per atom: -5.6612
Formation energy (no corrections), kJ/mol of atoms: -172.4
Theoretical density, g/cm3: 4.95